Below is an optimized crystal structure of CeAlTcPd, with properties calculated at the PBE-GGA level.

Fermi-level density of states: 7.95 states/eV/cell
Final energy: -107.2 eV/cell
M_tot: 0.00 μB per formula unit
E_form: -1.6 eV/f.u.

Cell lengths 6.6010, 6.6010, 6.6010 Å; angles 90.00, 90.00, 90.00 degrees
With the nearest neighbours (Å) after each atom.
Space group F-43m (No. 216)
Asymmetric unit:
Ce 0.0000 0.0000 0.0000 x4  4 Pd 2.86, 4 Tc 2.86
Al 0.0000 0.0000 0.5000 x4  4 Tc 2.86, 4 Pd 2.86
Tc 0.2500 0.2500 0.7500 x4  4 Ce 2.86, 4 Al 2.86
Pd 0.2500 0.2500 0.2500 x4  4 Ce 2.86, 4 Al 2.86